VASP calculation (PBE) on a relaxed structure of SbPd8Au2.

a = 7.400 Å, b = 7.400 Å, c = 5.250 Å
α = 110.38°, β = 110.38°, γ = 117.02°
Atoms (fractional coordinates):
Sb1 0.000 0.000 0.000
Pd1 0.101 0.322 0.601
Pd2 0.218 0.782 0.000
Pd3 0.322 0.101 0.601
Pd4 0.400 0.400 0.166
Pd5 0.600 0.600 0.834
Pd6 0.678 0.899 0.399
Pd7 0.782 0.218 0.000
Pd8 0.899 0.678 0.399
Au1 0.306 0.694 0.500
Au2 0.694 0.306 0.500

Output
- ΔE_f (raw): -32 meV per atom
- Space group: C2/m
- E above lowest polymorph: 9 meV per atom